# 1
An optimized crystal structure of CaSc5Tl6, computed with PBE.

Properties
Mass density in g/cm³: 8.511
Calculated formation energy in eV per formula unit: -3.18
Space group: C2/m (12)

Unit cell a=5.154 b=8.932 c=8.932 alpha=119.93 beta=106.80 gamma=106.80
Atoms (fractional coordinates):
Sc: 0.500 0.164 0.836
Sc: 0.500 0.500 0.500
Sc: 0.500 0.836 0.164
Sc: 0.000 0.668 0.332
Sc: 0.000 0.332 0.668
Tl: 0.745 0.915 0.575
Tl: 0.255 0.425 0.085
Tl: 0.761 0.260 0.260
Tl: 0.239 0.740 0.740
Tl: 0.745 0.575 0.915
Tl: 0.255 0.085 0.425
Ca: 0.000 0.000 0.000

=====

# 2
An optimized crystal structure of LiMoBr, computed with PBE.

Properties
Energy relative to the lowest polymorph listed for this composition in meV/atom: 437
Formation energy without anion corrections in eV per atom: 0.7584
Mass density in g/cm³: 5.805
Space group: F-43m (216)

Unit cell a=4.197 b=4.197 c=4.197 alpha=60.00 beta=60.00 gamma=60.00
Atoms (fractional coordinates):
Br: 0.250 0.250 0.250
Mo: 0.500 0.500 0.500
Li: 0.000 0.000 0.000

=====

# 3
An optimized crystal structure of NbOsSe, computed with PBE.

Properties
Formation energy without anion corrections in eV per atom: 0.2898
Mass density in g/cm³: 11.147
Space group: P-6m2 (187)

Unit cell a=3.519 b=3.520 c=10.057 alpha=90.00 beta=90.00 gamma=120.00
Atoms (fractional coordinates):
Nb: 0.278 0.556 0.833
Nb: 0.278 0.556 0.167
Se: 0.611 0.222 0.654
Se: 0.611 0.222 0.346
Os: 0.278 0.555 0.500
Os: 0.611 0.222 0.000

=====

# 4
An optimized crystal structure of PaH3Rh, computed with PBE.

Properties
Mass density in g/cm³: 11.246
E_tot in eV/cell: -28.36
Space group: Pm-3m (221)

Unit cell a=3.678 b=3.678 c=3.678 alpha=90.00 beta=90.00 gamma=90.00
Last column: magnetic moment on the atom in μB.
Atoms (fractional coordinates):
Rh: 0.000 0.000 0.000  0.00
H: 0.000 0.500 0.000  0.00
H: 0.500 0.000 0.000  0.00
H: 0.000 0.000 0.500  0.00
Pa: 0.500 0.500 0.500  0.78

=====

# 5
An optimized crystal structure of Sm2Dy2TmMg5, computed with PBE.

Properties
Mass density in g/cm³: 5.372
Calculated formation energy in eV per formula unit: 0.54
Space group: P4/mbm (127)

Unit cell a=5.062 b=10.578 c=10.578 alpha=90.00 beta=90.00 gamma=90.00
Atoms (fractional coordinates):
Mg: 0.500 0.432 0.303
Mg: 0.500 0.303 0.568
Mg: 0.500 0.932 0.197
Mg: 0.500 0.568 0.697
Mg: 0.500 0.197 0.068
Mg: 0.500 0.697 0.432
Mg: 0.500 0.803 0.932
Mg: 0.500 0.000 0.500
Mg: 0.500 0.068 0.803
Mg: 0.500 0.500 0.000
Sm: 0.000 0.178 0.322
Sm: 0.000 0.822 0.678
Sm: 0.000 0.678 0.178
Sm: 0.000 0.322 0.822
Tm: 0.000 0.500 0.500
Tm: 0.000 0.000 0.000
Dy: 0.000 0.380 0.120
Dy: 0.000 0.120 0.620
Dy: 0.000 0.620 0.880
Dy: 0.000 0.880 0.380

=====

# 6
An optimized crystal structure of Ca5Sn2Pb, computed with PBE.

Properties
Mass density in g/cm³: 4.122
Calculated formation energy in eV per formula unit: -4.97
Space group: I4/mcm (140)

Unit cell a=8.176 b=8.176 c=9.688 alpha=114.96 beta=114.96 gamma=90.00
Atoms (fractional coordinates):
Ca: 0.967 0.467 0.283
Ca: 0.316 0.816 0.283
Ca: 0.500 0.500 0.000
Ca: 0.684 0.184 0.717
Ca: 0.033 0.533 0.717
Ca: 0.000 0.000 0.000
Ca: 0.184 0.033 0.717
Ca: 0.467 0.316 0.283
Ca: 0.533 0.684 0.717
Ca: 0.816 0.967 0.283
Sn: 0.374 0.874 0.000
Sn: 0.126 0.374 0.000
Sn: 0.874 0.626 0.000
Sn: 0.626 0.126 0.000
Pb: 0.250 0.250 0.500
Pb: 0.750 0.750 0.500

=====

# 7
An optimized crystal structure of LiReSe, computed with PBE.

Properties
Energy relative to the lowest polymorph listed for this composition in meV/atom: 519
Formation energy without anion corrections in eV per atom: 0.6094
Mass density in g/cm³: 9.153
Space group: F-43m (216)

Unit cell a=4.118 b=4.118 c=4.118 alpha=60.00 beta=60.00 gamma=60.00
Atoms (fractional coordinates):
Li: 0.500 0.500 0.500
Re: 0.250 0.250 0.250
Se: 0.000 0.000 0.000

=====

# 8
An optimized crystal structure of Er6HgBi2, computed with PBE.

Properties
Mass density in g/cm³: 10.423
Calculated formation energy in eV per formula unit: -4.11
Space group: P-62m (189)

Unit cell a=4.194 b=8.435 c=8.435 alpha=120.00 beta=90.00 gamma=90.00
Last column: magnetic moment on the atom in μB.
Atoms (fractional coordinates):
Bi: 0.000 0.667 0.333  -0.02
Bi: 0.000 0.333 0.667  -0.02
Er: 0.000 0.254 0.000  0.33
Er: 0.000 0.000 0.254  0.33
Er: 0.500 0.398 0.398  0.27
Er: 0.000 0.746 0.746  0.33
Er: 0.500 0.602 0.000  0.28
Er: 0.500 0.000 0.602  0.27
Hg: 0.500 0.000 0.000  0.03

=====

# 9
An optimized crystal structure of Fe2PtCl, computed with PBE.

Properties
Energy relative to the lowest polymorph listed for this composition in meV/atom: 154
Formation energy without anion corrections in eV per atom: 0.0962
Mass density in g/cm³: 9.777
Space group: P4/mmm (123)

Unit cell a=2.869 b=2.869 c=7.062 alpha=90.00 beta=90.00 gamma=89.98
Last column: magnetic moment on the atom in μB.
Atoms (fractional coordinates):
Pt: 0.500 0.500 0.250  0.45
Fe: 0.000 0.000 0.503  3.06
Fe: 0.000 0.000 0.997  3.06
Cl: 0.500 0.500 0.750  0.14

=====

# 10
An optimized crystal structure of AcTaP, computed with PBE.

Properties
Mass density in g/cm³: 9.722
Calculated formation energy in eV per formula unit: -0.81
Space group: P-6m2 (187)

Unit cell a=4.666 b=4.307 c=4.307 alpha=120.00 beta=90.00 gamma=90.00
Atoms (fractional coordinates):
Ac: 0.667 0.667 0.333
P: 0.167 0.000 0.000
Ta: 0.167 0.333 0.667

=====

# 11
An optimized crystal structure of RbTcS2N, computed with PBE.

Properties
Energy relative to the lowest polymorph listed for this composition in meV/atom: 0
Formation energy without anion corrections in eV per atom: -0.0749
Mass density in g/cm³: 4.605
Space group: P4/mmm (123)

Unit cell a=4.966 b=4.966 c=3.826 alpha=90.00 beta=90.00 gamma=90.00
Atoms (fractional coordinates):
Tc: 0.000 0.000 0.000
S: 0.500 0.000 0.000
S: 0.000 0.500 0.000
N: 0.000 0.000 0.500
Rb: 0.500 0.500 0.500

=====

# 12
An optimized crystal structure of YHf2Co, computed with PBE.

Properties
Energy relative to the lowest polymorph listed for this composition in meV/atom: 591
Mass density in g/cm³: 7.394
Calculated formation energy in eV per formula unit: 3.74
Space group: I4_1/amd (141)

Unit cell a=5.275 b=5.275 c=8.962 alpha=72.89 beta=72.89 gamma=90.00
Atoms (fractional coordinates):
Y: 0.750 0.250 0.500
Y: 0.000 0.000 0.000
Hf: 0.375 0.625 0.750
Hf: 0.375 0.625 0.250
Hf: 0.875 0.625 0.750
Hf: 0.375 0.125 0.250
Co: 0.500 0.500 0.000
Co: 0.250 0.750 0.500

=====

# 13
An optimized crystal structure of Y5In2Ru2Rh, computed with PBE.

Properties
Mass density in g/cm³: 6.786
Calculated formation energy in eV per formula unit: -4.08
Space group: P4/mbm (127)

Unit cell a=3.490 b=11.718 c=11.718 alpha=90.00 beta=90.00 gamma=90.00
Atoms (fractional coordinates):
Y: 0.500 0.303 0.563
Y: 0.500 0.197 0.063
Y: 0.500 0.937 0.197
Y: 0.500 0.500 0.000
Y: 0.500 0.697 0.437
Y: 0.500 0.437 0.303
Y: 0.500 0.563 0.697
Y: 0.500 0.063 0.803
Y: 0.500 0.803 0.937
Y: 0.500 0.000 0.500
Ru: 0.000 0.637 0.863
Ru: 0.000 0.363 0.137
Ru: 0.000 0.137 0.637
Ru: 0.000 0.863 0.363
Rh: 0.000 0.500 0.500
Rh: 0.000 0.000 0.000
In: 0.000 0.182 0.318
In: 0.000 0.682 0.182
In: 0.000 0.818 0.682
In: 0.000 0.318 0.818

=====

# 14
An optimized crystal structure of GaAg3B, computed with PBE.

Properties
Energy relative to the lowest polymorph listed for this composition in meV/atom: 854
Mass density in g/cm³: 5.812
Calculated formation energy in eV per formula unit: 6.62
Space group: Pm-3m (221)

Unit cell a=4.870 b=4.870 c=4.870 alpha=90.00 beta=90.00 gamma=90.00
Atoms (fractional coordinates):
B: 0.500 0.500 0.500
Ag: 0.000 0.000 0.500
Ag: 0.000 0.500 0.000
Ag: 0.500 0.000 0.000
Ga: 0.000 0.000 0.000

=====

# 15
An optimized crystal structure of Tm5Cu2Tc, computed with PBE.

Properties
Mass density in g/cm³: 9.802
Calculated formation energy in eV per formula unit: -1.15
Space group: Pbam (55)

Unit cell a=4.806 b=6.446 c=11.698 alpha=90.00 beta=90.00 gamma=90.00
Atoms (fractional coordinates):
Tm: 0.500 0.171 0.601
Tm: 0.500 0.329 0.101
Tm: 0.000 0.154 0.285
Tm: 0.500 0.829 0.399
Tm: 0.000 0.346 0.785
Tm: 0.000 0.000 0.000
Tm: 0.000 0.654 0.215
Tm: 0.000 0.500 0.500
Tm: 0.000 0.846 0.715
Tm: 0.500 0.671 0.899
Cu: 0.500 0.887 0.140
Cu: 0.500 0.613 0.640
Cu: 0.500 0.113 0.860
Cu: 0.500 0.387 0.360
Tc: 0.000 0.000 0.500
Tc: 0.000 0.500 0.000

=====

# 16
An optimized crystal structure of Pu5PaRu4, computed with PBE.

Properties
Mass density in g/cm³: 14.056
Calculated formation energy in eV per formula unit: -0.63
Space group: C2/m (12)

Unit cell a=4.653 b=6.941 c=9.357 alpha=129.94 beta=104.40 gamma=90.00
Last column: magnetic moment on the atom in μB.
Atoms (fractional coordinates):
Ru: 0.346 0.970 0.692  0.04
Ru: 0.995 0.205 0.991  -0.04
Ru: 0.654 0.030 0.308  0.04
Ru: 0.005 0.795 0.009  -0.04
Pu: 0.790 0.665 0.580  -5.14
Pu: 0.156 0.751 0.312  4.92
Pu: 0.844 0.249 0.688  4.92
Pu: 0.500 0.500 0.000  -4.77
Pu: 0.210 0.335 0.420  -5.14
Pa: 0.500 0.000 0.000  0.04

=====

# 17
An optimized crystal structure of NdHoCoHg, computed with PBE.

Properties
Mass density in g/cm³: 10.028
Calculated formation energy in eV per formula unit: -0.68
Space group: F-43m (216)

Unit cell a=5.107 b=5.107 c=5.107 alpha=60.00 beta=60.00 gamma=60.00
Last column: magnetic moment on the atom in μB.
Atoms (fractional coordinates):
Ho: 0.000 0.000 0.000  -0.22
Co: 0.750 0.750 0.750  1.04
Nd: 0.500 0.500 0.500  -0.13
Hg: 0.250 0.250 0.250  -0.03